A geometry-optimized BeNbFe2 structure, computed with PBE.

abc: 5.171 5.171 5.171
angles: 102.43 102.43 124.71
Fractional positions:
Be 0.000 0.000 0.000
Be 0.750 0.250 0.500
Nb 0.250 0.750 0.500
Nb 0.500 0.500 0.000
Fe 0.066 0.625 0.941
Fe 0.375 0.316 0.441
Fe 0.684 0.125 0.059
Fe 0.875 0.934 0.559

- Total moment: 5.76 Bohr magnetons per cell
- Formation enthalpy at 0 K: 0.397 eV/atom
- Symmetry: No. 122
- DFT total energy: -7.2835 eV/atom


A geometry-optimized CdSi2P structure, computed with PBE.

abc: 2.657 3.470 7.933
angles: 90.00 99.07 90.00
Fractional positions:
Cd 0.000 0.000 0.000
Si 0.109 0.500 0.718
Si 0.891 0.500 0.282
P 0.000 0.000 0.500

- Uncorrected formation energy: 0.32 eV per atom
- Energy above the lowest structure with this stoichiometry: 263 meV per atom
- Total moment: 0.00 Bohr magnetons per cell
- Symmetry: No. 10
- DFT total energy: -3.9766 eV/atom